No. 1
Material: RbVOsO6
Method: DFT, PBE+U
State: relaxed

extended XYZ file:
```
9
Lattice="-3.1504 -1.9286 -3.6685 -3.8618 -3.2291 1.3210 -3.8729 4.9233 0.7331" Properties=species:S:1:pos:R:3 pbc="T T T"
O -6.0528 0.8536 -1.1693
O -7.7294 -0.6855 0.3269
O -3.1926 0.4575 -1.9718
O -2.8088 0.3532 0.7572
O -4.8573 -1.0826 -0.4040
O -8.0589 -0.5421 -2.3736
V -6.5235 -1.0883 -1.2152
Os -4.3288 0.8121 -0.4052
Rb -7.0110 2.9790 -2.9375
```

## Properties
calculated total energy: -62.5 eV/cell
calculated volume: 148.0 Å³/f.u.



No. 2
Material: Rb2VOsO6
Method: DFT, PBE+U
State: relaxed

extended XYZ file:
```
10
Lattice="-5.3020 0.2778 -2.0939 1.6228 -2.3770 -4.9281 -2.6143 -4.6534 -2.0282" Properties=species:S:1:pos:R:3 pbc="T T T"
O -2.2375 -2.8993 -2.7505
O -6.2290 -5.0224 -4.8129
O -5.4402 -6.2654 -7.4221
O -0.8532 -0.4872 -1.6282
O -0.0644 -1.7302 -4.2373
O -4.0558 -3.8533 -6.2998
Os -2.6143 -4.6534 -2.0282
Rb -4.8777 -2.7129 -3.8167
Rb -1.4156 -4.0397 -5.2336
V -1.8396 -1.0496 -3.5110
```

## Properties
calculated total energy: -64.8 eV/cell
calculated volume: 129.3 Å³/f.u.



No. 3
Material: Rb2OsWO6
Method: DFT, PBE+U
State: relaxed

extended XYZ file:
```
10
Lattice="-0.5580 1.8047 5.1324 3.3657 -3.9391 1.7510 5.9665 2.4926 2.6894" Properties=species:S:1:pos:R:3 pbc="T T T"
Rb 3.4058 1.6154 5.6320
Rb 5.3684 -1.2573 3.9408
W 0.0000 0.0000 0.0000
O 4.2776 -0.9878 6.6412
O 2.0849 -1.5831 5.1088
O 6.6894 1.9412 4.4640
O 2.3543 -2.4584 2.6230
O 4.4967 1.3459 2.9316
O 0.4535 0.3239 4.2604
Os 1.4039 -1.0672 3.4417
```

## Properties
calculated total energy: -65.5 eV/cell
calculated volume: 174.5 Å³/f.u.



No. 4
Material: Rb2Os3WO12
Method: DFT, PBE+U
State: relaxed

extended XYZ file:
```
18
Lattice="7.3477 0.0969 0.0687 3.7129 6.3413 0.0687 3.7129 2.1612 5.9621" Properties=species:S:1:pos:R:3 pbc="T T T"
O 11.4742 4.1226 5.6328
O 7.9180 2.0091 4.1798
O 5.6573 5.8929 4.1798
O 9.1162 2.7065 1.9197
O 3.2993 4.4768 0.4667
O 3.2993 1.9205 4.0708
O 6.8555 3.9905 5.5851
O 7.9180 4.6090 0.5143
O 11.4742 6.6790 2.0286
O 9.2514 7.9414 5.6328
O 6.8555 6.5903 1.9197
O 5.5222 0.6580 0.4667
Os 3.6738 0.0484 0.0344
Os 1.8565 1.0806 2.9810
Os 1.8565 3.1707 0.0344
Rb 9.2273 5.3710 3.8096
Rb 5.5463 3.2284 2.2899
W 0.0000 0.0000 0.0000
```

## Properties
calculated total energy: -127.6 eV/cell
calculated volume: 273.5 Å³/f.u.



No. 5
Material: RbOsWO6
Method: DFT, PBE+U
State: relaxed

extended XYZ file:
```
18
Lattice="-4.0692 5.2797 3.2076 -4.5438 -5.0290 2.5133 7.1754 -0.5496 1.4774" Properties=species:S:1:pos:R:3 pbc="T T T"
O 1.6155 0.9602 3.6741
O 0.3621 -4.1030 4.0079
O 3.1445 -1.0236 2.4689
O -4.5821 0.7247 4.7294
O -2.8814 1.3398 2.6693
O 1.4438 -1.6387 4.5289
O -0.2707 1.8204 1.9852
O -2.3418 -3.9294 3.4969
O 0.9042 3.6305 3.7013
O -1.7997 3.8042 3.1904
O -3.0531 -1.2590 3.5242
O -1.1668 -2.1193 5.2131
W 3.5877 -0.2748 0.7387
W 1.5531 2.3650 2.3425
Os -4.3065 0.1254 2.8605
Os -2.0346 2.6398 1.6038
Rb -1.0600 1.0705 5.4232
Rb -0.3776 -1.3694 1.7750
```

## Properties
calculated total energy: -127.5 eV/cell
calculated volume: 139.5 Å³/f.u.